## i
Compound: CaMoAs2Se
Source: Alexandria via LeMat-Bulk
Functional: PBE-GGA
Structure: optimized geometry

Lattice parameters (Å, degrees): 4.803 4.803 5.418 90.00 90.00 90.00
Positions (direct):
1 As 0.000 0.500 0.000
2 Ca 0.500 0.500 0.500
3 Se 0.000 0.000 0.500
4 As 0.500 0.000 0.000
5 Mo 0.000 0.000 0.000

Values from the calculation:
size of the total moment	0.0	μB per formula unit
D(E_F)	0.574	states/eV/atom

---

## ii
Compound: CaMoAs2Se
Source: Alexandria via LeMat-Bulk
Functional: PBE-GGA
Structure: optimized geometry

Lattice parameters (Å, degrees): 5.134 5.134 5.124 90.00 90.00 90.00
Positions (direct):
1 Se 0.000 0.000 0.500
2 As 0.000 0.500 0.000
3 Ca 0.000 0.000 0.000
4 Mo 0.500 0.500 0.500
5 As 0.500 0.000 0.000

Values from the calculation:
size of the total moment	0.0	μB per formula unit
D(E_F)	2.629	states/eV/atom

---

List of relative energies, unit kJ/mol of atoms: i 0.0; ii 164.3

---

## i
Compound: Ca2AsN
Source: Alexandria via LeMat-Bulk
Functional: PBE-GGA
Structure: optimized geometry

Lattice parameters (Å, degrees): 4.849 4.849 4.849 60.00 60.00 60.00
Positions (direct):
1 N 0.000 0.000 0.000
2 As 0.500 0.500 0.500
3 Ca 0.750 0.750 0.750
4 Ca 0.250 0.250 0.250

Values from the calculation:
size of the total moment	1.8	μB per formula unit
D(E_F)	0.525	states/eV/atom

---

## ii
Compound: Ca2AsN
Source: Alexandria via LeMat-Bulk
Functional: PBE-GGA
Structure: optimized geometry

Lattice parameters (Å, degrees): 7.230 7.230 6.037 53.22 53.22 90.00
Positions (direct):
1 N 0.250 0.750 0.500
2 Ca 0.375 0.452 0.750
3 Ca 0.875 0.798 0.750
4 Ca 0.202 0.625 0.250
5 Ca 0.548 0.125 0.250
6 As 0.000 0.000 0.000
7 As 0.750 0.250 0.500
8 N 0.500 0.500 0.000

Values from the calculation:
size of the total moment	0.0	μB per formula unit
D(E_F)	0.687	states/eV/atom

---

List of relative energies, unit kJ/mol of atoms: i 26.6; ii 0.0

---

## i
Compound: Ca4AsN2
Source: Alexandria via LeMat-Bulk
Functional: PBE-GGA
Structure: optimized geometry

Lattice parameters (Å, degrees): 7.288 7.288 7.289 109.50 109.50 109.40
Positions (direct):
1 N 0.625 0.375 0.750
2 Ca 0.471 0.650 0.820
3 Ca 0.830 0.650 0.180
4 As 0.000 0.000 0.000
5 Ca 0.900 0.580 0.680
6 Ca 0.900 0.221 0.320
7 As 0.250 0.750 0.500
8 N 0.125 0.375 0.750
9 Ca 0.350 0.170 0.821
10 N 0.625 0.375 0.250
11 Ca 0.779 0.099 0.679
12 N 0.625 0.875 0.250
13 Ca 0.349 0.529 0.179
14 Ca 0.420 0.100 0.321

Values from the calculation:
size of the total moment	0.6	μB per formula unit
D(E_F)	0.696	states/eV/atom

---

## ii
Compound: Ca4AsN2
Source: Alexandria via LeMat-Bulk
Functional: PBE-GGA
Structure: optimized geometry

Lattice parameters (Å, degrees): 6.820 7.764 7.764 61.14 63.95 63.95
Positions (direct):
1 Ca 0.715 0.820 0.750
2 N 0.144 0.106 0.606
3 Ca 0.285 0.750 0.680
4 Ca 0.256 0.751 0.251
5 Ca 0.744 0.249 0.749
6 Ca 0.742 0.751 0.251
7 N 0.500 0.000 0.000
8 N 0.856 0.894 0.394
9 Ca 0.715 0.250 0.320
10 N 0.500 0.500 0.500
11 As 0.000 0.500 0.000
12 As 0.500 0.500 0.000
13 Ca 0.258 0.249 0.749
14 Ca 0.285 0.180 0.250

Values from the calculation:
size of the total moment	0.2	μB per formula unit
D(E_F)	0.536	states/eV/atom

---

List of relative energies, unit kJ/mol of atoms: i 0.0; ii 11.2

---

## i
Compound: CaAs3N
Source: Alexandria via LeMat-Bulk
Functional: PBE-GGA
Structure: optimized geometry

Lattice parameters (Å, degrees): 5.435 5.435 5.435 90.00 90.00 90.00
Positions (direct):
1 As 0.000 0.000 0.500
2 As 0.000 0.500 0.000
3 As 0.500 0.000 0.000
4 Ca 0.000 0.000 0.000
5 N 0.500 0.500 0.500

Values from the calculation:
size of the total moment	2.7	μB per formula unit
D(E_F)	0.804	states/eV/atom

---

## ii
Compound: CaAs3N
Source: Alexandria via LeMat-Bulk
Functional: PBE-GGA
Structure: optimized geometry

Lattice parameters (Å, degrees): 4.501 4.501 4.501 90.00 90.00 90.00
Positions (direct):
1 N 0.000 0.000 0.000
2 As 0.000 0.000 0.500
3 As 0.500 0.000 0.000
4 As 0.000 0.500 0.000
5 Ca 0.500 0.500 0.500

Values from the calculation:
size of the total moment	0.0	μB per formula unit
D(E_F)	0.870	states/eV/atom

---

List of relative energies, unit kJ/mol of atoms: i 148.7; ii 0.0

---

## i
Compound: CaAsSe2N
Source: Alexandria via LeMat-Bulk
Functional: PBE-GGA
Structure: optimized geometry

Lattice parameters (Å, degrees): 5.233 5.233 3.767 90.00 90.00 90.00
Positions (direct):
1 N 0.000 0.000 0.500
2 Se 0.000 0.500 0.000
3 Se 0.500 0.000 0.000
4 Ca 0.500 0.500 0.500
5 As 0.000 0.000 0.000

Values from the calculation:
size of the total moment	0.0	μB per formula unit
D(E_F)	0.621	states/eV/atom

---

## ii
Compound: CaAsSe2N
Source: Alexandria via LeMat-Bulk
Functional: PBE-GGA
Structure: optimized geometry

Lattice parameters (Å, degrees): 5.449 5.449 4.142 90.00 90.00 90.00
Positions (direct):
1 As 0.500 0.500 0.500
2 Ca 0.000 0.000 0.000
3 N 0.000 0.000 0.500
4 Se 0.500 0.000 0.000
5 Se 0.000 0.500 0.000

Values from the calculation:
size of the total moment	0.0	μB per formula unit
D(E_F)	1.430	states/eV/atom

---

List of relative energies, unit kJ/mol of atoms: i 0.0; ii 100.9

---

## i
Compound: CaAsSe2N
Source: Alexandria via LeMat-Bulk
Functional: PBE-GGA
Structure: optimized geometry

Lattice parameters (Å, degrees): 5.509 5.509 5.762 90.00 90.00 90.00
Positions (direct):
1 As 0.000 0.000 0.500
2 Se 0.000 0.500 0.000
3 Ca 0.000 0.000 0.000
4 Se 0.500 0.000 0.000
5 N 0.500 0.500 0.500

Values from the calculation:
size of the total moment	2.9	μB per formula unit
D(E_F)	0.896	states/eV/atom

---

## ii
Compound: CaAsSe2N
Source: Alexandria via LeMat-Bulk
Functional: PBE-GGA
Structure: optimized geometry

Lattice parameters (Å, degrees): 4.831 4.831 4.115 90.00 90.00 90.00
Positions (direct):
1 N 0.000 0.000 0.000
2 Se 0.500 0.000 0.000
3 Se 0.000 0.500 0.000
4 As 0.000 0.000 0.500
5 Ca 0.500 0.500 0.500

Values from the calculation:
size of the total moment	0.0	μB per formula unit
D(E_F)	0.436	states/eV/atom

---

List of relative energies, unit kJ/mol of atoms: i 115.9; ii 0.0

---

## i
Compound: CaAsSeN2
Source: Alexandria via LeMat-Bulk
Functional: PBE-GGA
Structure: optimized geometry

Lattice parameters (Å, degrees): 3.932 3.932 5.423 90.00 90.00 90.00
Positions (direct):
1 N 0.500 0.000 0.000
2 N 0.000 0.500 0.000
3 Ca 0.500 0.500 0.500
4 Se 0.000 0.000 0.500
5 As 0.000 0.000 0.000

Values from the calculation:
size of the total moment	0.9	μB per formula unit
D(E_F)	0.556	states/eV/atom

---

## ii
Compound: CaAsSeN2
Source: Alexandria via LeMat-Bulk
Functional: PBE-GGA
Structure: optimized geometry

Lattice parameters (Å, degrees): 4.343 4.343 5.760 90.00 90.00 90.00
Positions (direct):
1 N 0.000 0.500 0.000
2 Se 0.000 0.000 0.500
3 N 0.500 0.000 0.000
4 As 0.500 0.500 0.500
5 Ca 0.000 0.000 0.000

Values from the calculation:
size of the total moment	0.9	μB per formula unit
D(E_F)	1.139	states/eV/atom

---

List of relative energies, unit kJ/mol of atoms: i 0.0; ii 114.6

---

## i
Compound: CaTeAsN2
Source: Alexandria via LeMat-Bulk
Functional: PBE-GGA
Structure: optimized geometry

Lattice parameters (Å, degrees): 4.143 4.143 5.725 90.00 90.00 90.00
Positions (direct):
1 As 0.000 0.000 0.000
2 Ca 0.500 0.500 0.500
3 Te 0.000 0.000 0.500
4 N 0.000 0.500 0.000
5 N 0.500 0.000 0.000

Values from the calculation:
size of the total moment	1.9	μB per formula unit
D(E_F)	0.462	states/eV/atom

---

## ii
Compound: CaTeAsN2
Source: Alexandria via LeMat-Bulk
Functional: PBE-GGA
Structure: optimized geometry

Lattice parameters (Å, degrees): 4.511 4.511 6.435 90.00 90.00 90.00
Positions (direct):
1 As 0.500 0.500 0.500
2 N 0.000 0.500 0.000
3 Te 0.000 0.000 0.500
4 N 0.500 0.000 0.000
5 Ca 0.000 0.000 0.000

Values from the calculation:
size of the total moment	3.4	μB per formula unit
D(E_F)	0.453	states/eV/atom

---

List of relative energies, unit kJ/mol of atoms: i 0.0; ii 62.6